Computed, not measured: a relaxed Pt2WO2 crystal at the PBE+U level of DFT.

Raw total energy   -5.545 eV/atom
Mass density   15.172 Mg/m³
Crystal system   tetragonal

abc: 3.4733 3.4733 6.0214
angles: 73.24 73.24 90.00
Last column: magnetic moment on the atom in μB.
Atoms (fractional coordinates):
O (0.7500, 0.2500, 0.5000)  -0.22
O (0.2500, 0.7500, 0.5000)  -0.22
W (0.0000, 0.0000, 0.0000)  1.60
Pt (0.6224, 0.6224, 0.7552)  -0.27
Pt (0.3776, 0.3776, 0.2448)  -0.27